CuB2Pd: relaxed, PBE.

Values from the calculation:
Total energy = -19.977 eV for the cell shown
Formation energy from the elements = 667 meV per atom

Geometry as CIF:
```
data_CuB2Pd
_cell_length_a 3.823
_cell_length_b 3.823
_cell_length_c 3.823
_cell_angle_alpha 60.00
_cell_angle_beta 60.00
_cell_angle_gamma 60.00
_symmetry_space_group_name_H-M 'P 1'
_symmetry_Int_Tables_number 1
loop_
_symmetry_equiv_pos_as_xyz
'x,y,z'
loop_
_atom_site_label
_atom_site_type_symbol
_atom_site_fract_x
_atom_site_fract_y
_atom_site_fract_z
B1 B 0.250 0.250 0.250
B2 B 0.750 0.750 0.750
Cu1 Cu 0.000 0.000 0.000
Pd1 Pd 0.500 0.500 0.500
```